Here is crystalline CuSiMo2 at its relaxed geometry from Alexandria via LeMat-Bulk. Energies are from GGA-PBE.

abc: 4.1957 2.7529 4.9774
angles: 79.61 90.00 90.00
With the nearest neighbours (Å) after each atom.
Element x y z (fractional)
Mo  0.0000  0.0134  0.9814  3 Si 2.61-2.73, 4 Mo 2.66-2.75, 4 Cu 2.74-2.77
Mo  0.5000  0.2260  0.2663  3 Cu 2.60-2.78, 4 Mo 2.66-2.75, 4 Si 2.75-2.78
Cu  0.5000  0.6028  0.7485  2 Si 2.42, 2 Mo 2.60-2.69
Si  0.0000  0.6578  0.5038  2 Cu 2.42, 2 Mo 2.61-2.70

Size of the total moment in Bohr magnetons per cell: 0.00
Symmetry: Pm, No. 6
ρ in g/cm3: 8.3
Energy in eV per cell: -31.4
Formation energy without anion corrections in meV/atom: -55